1.
# AcHoN

A relaxed AcHoN crystal (PBE-GGA, Alexandria via LeMat-Bulk).

Cell: 3.3898 3.3898 7.5927 Å, 102.90 102.90 90.00°
Last column: nearest neighbours and their distance in Å.
Positions (direct):
Ho (0.5895, 0.5895, 0.1791)  4 N 2.43
N (0.1190, 0.1190, 0.2381)  4 Ho 2.43, 1 Ac 2.48
Ac (0.2914, 0.2914, 0.5828)  1 N 2.48

Crystal system: tetragonal
SG: No. 107

2.
# AcHoN

A relaxed AcHoN crystal (PBE-GGA, Alexandria via LeMat-Bulk).

Cell: 3.6318 3.6318 6.7210 Å, 90.00 90.00 120.00°
Last column: nearest neighbours and their distance in Å.
Positions (direct):
N (0.3333, 0.6667, 0.6227)  3 Ho 2.32
Ho (0.6667, 0.3333, 0.4737)  3 N 2.32
Ac (0.0000, 0.0000, 0.9036)  3 N 2.82

Crystal system: trigonal
SG: No. 156

3.
# Ac2HoN

A relaxed Ac2HoN crystal (PBE-GGA, Alexandria via LeMat-Bulk).

Cell: 3.7398 3.7398 10.4868 Å, 79.73 79.73 60.00°
Last column: nearest neighbours and their distance in Å.
Positions (direct):
N (0.5000, 0.5000, 0.5000)  6 Ac 2.64
Ac (0.1172, 0.1172, 0.6484)  3 N 2.64
Ac (0.8828, 0.8828, 0.3516)  3 N 2.64
Ho (0.0000, 0.0000, 0.0000)  2 Ac 3.61, 6 Ho 3.74

Crystal system: trigonal
SG: No. 166

4.
# AcHo3N

A relaxed AcHo3N crystal (PBE-GGA, Alexandria via LeMat-Bulk).

Cell: 5.0332 5.0332 5.0332 Å, 90.00 90.00 90.00°
Last column: nearest neighbours and their distance in Å.
Positions (direct):
Ho (0.0000, 0.5000, 0.0000)  2 N 2.52
Ho (0.5000, 0.0000, 0.0000)  2 N 2.52
Ho (0.0000, 0.0000, 0.5000)  2 N 2.52
N (0.0000, 0.0000, 0.0000)  6 Ho 2.52
Ac (0.5000, 0.5000, 0.5000)  12 Ho 3.56

Crystal system: cubic
SG: No. 221

5.
# AcHoNbN3

A relaxed AcHoNbN3 crystal (PBE-GGA, Alexandria via LeMat-Bulk).

Cell: 3.5248 7.6664 8.2150 Å, 96.53 90.00 90.00°
Last column: nearest neighbours and their distance in Å.
Positions (direct):
Ac (0.7500, 0.8298, 0.8201)  3 N 2.60-2.83
Ac (0.2500, 0.1702, 0.1799)  3 N 2.60-2.83
N (0.2500, 0.8328, 0.5362)  3 Nb 2.09-2.18
N (0.7500, 0.8540, 0.1664)  1 Nb 2.02
N (0.7500, 0.4079, 0.1279)  3 Ho 2.20-2.41
N (0.7500, 0.1672, 0.4638)  3 Nb 2.09-2.18
N (0.2500, 0.1460, 0.8336)  1 Nb 2.02
N (0.2500, 0.5921, 0.8721)  3 Ho 2.20-2.41
Ho (0.7500, 0.3768, 0.8582)  3 N 2.20-2.41
Ho (0.2500, 0.6232, 0.1418)  3 N 2.20-2.41
Nb (0.2500, 0.1176, 0.5866)  4 N 2.02-2.18
Nb (0.7500, 0.8824, 0.4134)  4 N 2.02-2.18

Crystal system: monoclinic
SG: No. 11

6.
# AcHo2NbN4

A relaxed AcHo2NbN4 crystal (PBE-GGA, Alexandria via LeMat-Bulk).

Cell: 3.4828 6.3623 12.1204 Å, 90.00 90.00 105.88°
Last column: nearest neighbours and their distance in Å.
Positions (direct):
Ho (0.6286, 0.2571, 0.4628)  5 N 2.30-2.56
Ho (0.6286, 0.2571, 0.0372)  5 N 2.30-2.56
Ho (0.3714, 0.7429, 0.9628)  5 N 2.30-2.56
Ho (0.3714, 0.7429, 0.5372)  5 N 2.30-2.56
N (0.2604, 0.5208, 0.1155)  1 Nb 1.96
N (0.7396, 0.4792, 0.8845)  1 Nb 1.96
N (0.0000, 0.0000, 0.5000)  4 Ho 2.39
N (0.0000, 0.0000, 0.0000)  4 Ho 2.39
N (0.4299, 0.8598, 0.7500)  2 Nb 2.14
N (0.5701, 0.1402, 0.2500)  2 Nb 2.14
N (0.2604, 0.5208, 0.3845)  1 Nb 1.96
N (0.7396, 0.4792, 0.6155)  1 Nb 1.96
Nb (0.8283, 0.6565, 0.7500)  4 N 1.96-2.14
Nb (0.1717, 0.3435, 0.2500)  4 N 1.96-2.14
Ac (0.0894, 0.1787, 0.7500)  2 N 2.62
Ac (0.9106, 0.8213, 0.2500)  2 N 2.62

Crystal system: orthorhombic
SG: No. 63

7.
# Ac2HoNpN4

A relaxed Ac2HoNpN4 crystal (PBE-GGA, Alexandria via LeMat-Bulk).

Cell: 3.6132 6.1546 6.4583 Å, 108.19 90.00 90.00°
Last column: nearest neighbours and their distance in Å.
Positions (direct):
Ac (0.0000, 0.5000, 0.5000)  6 N 2.81-2.87
Ac (0.5000, 0.0000, 0.5000)  6 N 2.71-2.73
N (0.5000, 0.7771, 0.8009)  2 Np 2.39, 1 Ho 2.44
N (0.0000, 0.2427, 0.8013)  1 Np 2.25, 2 Ho 2.48
N (0.5000, 0.2229, 0.1991)  2 Np 2.39, 1 Ho 2.44
N (0.0000, 0.7573, 0.1987)  1 Np 2.25, 2 Ho 2.48
Np (0.0000, 0.0000, 0.0000)  6 N 2.25-2.39
Ho (0.5000, 0.5000, 0.0000)  6 N 2.44-2.48

Crystal system: monoclinic
SG: No. 10

8.
# AcHo2NpN4

A relaxed AcHo2NpN4 crystal (PBE-GGA, Alexandria via LeMat-Bulk).

Cell: 3.5658 6.3753 12.5713 Å, 90.00 90.00 106.24°
Last column: nearest neighbours and their distance in Å.
Positions (direct):
Ac (0.1484, 0.2968, 0.7500)  6 N 2.69-2.79
Ac (0.8516, 0.7032, 0.2500)  6 N 2.69-2.79
N (0.5162, 0.0325, 0.2500)  2 Np 2.19
N (0.2445, 0.4889, 0.3850)  1 Np 2.28, 3 Ho 2.32-2.55
N (0.7555, 0.5111, 0.8850)  1 Np 2.28, 3 Ho 2.32-2.55
N (0.0000, 0.0000, 0.5000)  4 Ho 2.41
N (0.2445, 0.4889, 0.1150)  1 Np 2.28, 3 Ho 2.32-2.55
N (0.0000, 0.0000, 0.0000)  4 Ho 2.41
N (0.4838, 0.9675, 0.7500)  2 Np 2.19
N (0.7555, 0.5111, 0.6150)  1 Np 2.28, 3 Ho 2.32-2.55
Ho (0.3700, 0.7399, 0.5229)  5 N 2.32-2.55
Ho (0.6300, 0.2601, 0.0229)  5 N 2.32-2.55
Ho (0.3700, 0.7399, 0.9771)  5 N 2.32-2.55
Ho (0.6300, 0.2601, 0.4771)  5 N 2.32-2.55
Np (0.8799, 0.7598, 0.7500)  4 N 2.19-2.28
Np (0.1201, 0.2402, 0.2500)  4 N 2.19-2.28

Crystal system: orthorhombic
SG: No. 63

9.
# Ac2HoOs2N6

A relaxed Ac2HoOs2N6 crystal (PBE-GGA, Alexandria via LeMat-Bulk).

Cell: 5.8611 5.8611 7.0047 Å, 65.27 65.27 60.00°
Last column: nearest neighbours and their distance in Å.
Positions (direct):
N (0.7441, 0.7441, 0.2805)  1 Os 1.81
N (0.7441, 0.2314, 0.2805)  1 Os 1.81
N (0.7686, 0.2559, 0.7195)  1 Os 1.81
N (0.2559, 0.7686, 0.7195)  1 Os 1.81
N (0.2559, 0.2559, 0.7195)  1 Os 1.81
N (0.2314, 0.7441, 0.2805)  1 Os 1.81
Os (0.3979, 0.3979, 0.8063)  3 N 1.81
Os (0.6021, 0.6021, 0.1937)  3 N 1.81
Ac (0.2123, 0.2123, 0.3630)  9 N 2.74-2.97
Ac (0.7877, 0.7877, 0.6370)  9 N 2.74-2.97
Ho (0.0000, 0.0000, 0.0000)  6 N 2.38

Crystal system: trigonal
SG: No. 166

10.
# AcHo2OsN4

A relaxed AcHo2OsN4 crystal (PBE-GGA, Alexandria via LeMat-Bulk).

Cell: 3.5092 6.2128 11.7670 Å, 90.00 90.00 106.40°
Last column: nearest neighbours and their distance in Å.
Positions (direct):
Ho (0.6314, 0.2629, 0.0419)  6 N 2.27-2.53
Ho (0.3686, 0.7371, 0.9581)  6 N 2.27-2.53
Ho (0.3686, 0.7371, 0.5419)  6 N 2.27-2.53
Ho (0.6314, 0.2629, 0.4581)  6 N 2.27-2.53
N (0.5765, 0.1531, 0.2500)  2 Os 2.01
N (0.4235, 0.8469, 0.7500)  2 Os 2.01
N (0.2628, 0.5255, 0.3812)  1 Os 1.98
N (0.0000, 0.0000, 0.0000)  4 Ho 2.40
N (0.7372, 0.4745, 0.8812)  1 Os 1.98
N (0.2628, 0.5255, 0.1188)  1 Os 1.98
N (0.0000, 0.0000, 0.5000)  4 Ho 2.40
N (0.7372, 0.4745, 0.6188)  1 Os 1.98
Ac (0.1010, 0.2020, 0.7500)  6 N 2.75-2.85
Ac (0.8990, 0.7980, 0.2500)  6 N 2.75-2.85
Os (0.8412, 0.6823, 0.7500)  4 N 1.98-2.01
Os (0.1588, 0.3177, 0.2500)  4 N 1.98-2.01

Crystal system: orthorhombic
SG: No. 63

11.
# AcHo2P2N6

A relaxed AcHo2P2N6 crystal (PBE-GGA, Alexandria via LeMat-Bulk).

Cell: 6.1839 5.9979 5.8701 Å, 117.40 89.52 63.87°
Last column: nearest neighbours and their distance in Å.
Positions (direct):
Ho (0.1936, 0.5755, 0.2052)  4 N 2.29-2.41
Ho (0.8064, 0.4245, 0.7948)  4 N 2.29-2.41
N (0.8772, 0.4650, 0.2121)  1 P 1.65
N (0.3897, 0.7860, 0.0272)  1 P 1.63
N (0.1228, 0.5350, 0.7879)  1 P 1.65
N (0.1974, 0.8732, 0.6241)  1 P 1.61
N (0.8026, 0.1268, 0.3759)  1 P 1.61
N (0.6103, 0.2140, 0.9728)  1 P 1.63
P (0.1905, 0.7900, 0.8480)  3 N 1.61-1.65
P (0.8095, 0.2100, 0.1520)  3 N 1.61-1.65
Ac (0.5000, 0.0000, 0.5000)  6 N 2.52-2.71

Crystal system: triclinic
SG: No. 2

12.
# Ac3HoP2N6

A relaxed Ac3HoP2N6 crystal (PBE-GGA, Alexandria via LeMat-Bulk).

Cell: 5.8303 5.8303 6.7743 Å, 90.00 90.00 120.00°
Last column: nearest neighbours and their distance in Å.
Positions (direct):
N (0.1810, 0.3620, 0.2932)  1 P 1.69
N (0.3620, 0.1810, 0.7068)  1 P 1.69
N (0.6380, 0.8190, 0.2932)  1 P 1.69
N (0.1810, 0.8190, 0.2932)  1 P 1.69
N (0.8190, 0.6380, 0.7068)  1 P 1.69
N (0.8190, 0.1810, 0.7068)  1 P 1.69
Ac (0.3333, 0.6667, 0.6559)  9 N 2.90-2.94, 1 P 3.16
Ac (0.6667, 0.3333, 0.3441)  9 N 2.90-2.94, 1 P 3.16
Ac (0.0000, 0.0000, 0.0000)  6 N 2.70
P (0.3333, 0.6667, 0.1889)  3 N 1.69
P (0.6667, 0.3333, 0.8111)  3 N 1.69
Ho (0.0000, 0.0000, 0.5000)  6 N 2.30

Crystal system: trigonal
SG: No. 164

| no. | raw total energy (eV/cell) | formation energy without anion corrections (eV/atom) |
| --- | --- | --- |
| 1 | -18.8 | -0.58 |
| 2 | -19.5 | -0.81 |
| 3 | -22.3 | -0.31 |
| 4 | -28.2 | -0.41 |
| 5 | -100.0 | -1.04 |
| 6 | -133.3 | -1.25 |
| 7 | -68.7 | -1.21 |
| 8 | -136.8 | -1.11 |
| 9 | -91.3 | -0.55 |
| 10 | -130.7 | -0.94 |
| 11 | -85.2 | -1.02 |
| 12 | -92.2 | -1.21 |